# 1
Entry from Alexandria: crystalline Nb6MoOs2 at its relaxed geometry (PBE).

Cell lengths 4.398, 6.234, 7.611 Å; angles 114.18, 106.84, 90.00 degrees
Atoms (fractional coordinates):
Nb 0.500 0.748 0.000
Nb 0.500 0.252 0.000
Nb 0.833 0.083 0.666
Nb 0.167 0.917 0.334
Nb 0.167 0.417 0.334
Nb 0.833 0.583 0.666
Os 0.333 0.333 0.665
Os 0.667 0.667 0.335
Mo 0.000 0.000 0.000

## Properties
Density (g/cm3): 9.51
ΔH_f (0 K) (meV/atom): 329

---

# 2
Entry from Alexandria: crystalline ZnCo2Tc at its relaxed geometry (PBE).

Cell lengths 8.552, 8.552, 8.552 Å; angles 17.77, 17.77, 17.77 degrees
Each line ends with the local moment (μB).
Atoms (fractional coordinates):
Zn 0.746 0.746 0.746  -0.02
Co 0.253 0.253 0.253  1.40
Co 0.996 0.996 0.996  1.50
Tc 0.505 0.505 0.505  0.11

## Properties
Density (g/cm3): 9.19
ΔH_f (0 K) (meV/atom): 139

---

# 3
Entry from Alexandria: crystalline Pu8FeRu5 at its relaxed geometry (PBE).

Cell lengths 7.167, 7.167, 7.167 Å; angles 110.95, 106.56, 110.95 degrees
Each line ends with the local moment (μB).
Atoms (fractional coordinates):
Pu 0.779 0.222 0.381  -4.57
Pu 0.631 0.865 0.870  4.90
Pu 0.442 0.602 0.221  -4.57
Pu 0.160 0.778 0.558  -4.57
Pu 0.619 0.398 0.840  -4.57
Pu 0.130 0.761 0.995  4.90
Pu 0.234 0.239 0.369  4.90
Pu 0.005 0.135 0.766  4.90
Ru 0.858 0.801 0.250  0.16
Ru 0.500 0.000 0.500  0.38
Ru 0.449 0.199 0.057  0.16
Ru 0.750 0.608 0.551  0.16
Ru 0.943 0.392 0.142  0.16
Fe 0.250 0.500 0.750  -1.24

## Properties
Density (g/cm3): 14.76
ΔH_f (0 K) (meV/atom): 25